Entry from the Alexandria database: a relaxed structure of AcPu2H (PBE).

Unit cell a=3.361 b=3.361 c=8.796 alpha=90.00 beta=90.00 gamma=90.00
Element x y z (fractional)
Ac  0.500  0.500  0.500
Pu  0.000  0.000  0.831
Pu  0.000  0.000  0.169
H  0.500  0.500  0.000

The total energy is -8.727 eV per atom. For the calculated volume, the calculation gives 99.4 Å³/f.u.